[1]
Below is crystalline Sm5Bi4C at its relaxed geometry, with properties calculated at the PBE-GGA level.

VASP energy: -5.47 eV/atom
Formation enthalpy at 0 K: -0.63 eV/atom
Density of states at the Fermi level: 0.3624 states/eV per atom

Lattice parameters (Å, degrees): 9.7617 9.7617 6.3752 90.00 90.00 90.00
Closest atoms and distances in Å follow each position.
Space group I4 (No. 79)
One atom of each set of equivalent atoms:
Sm 0.0000 0.0000 0.0000 [2 per cell]  1 C 2.44
Sm 0.0947 0.2496 0.4362 [8 per cell]  1 C 2.63
Bi 0.0817 0.3125 0.9327 [8 per cell]  6 Sm 3.18-3.37
C 0.0000 0.0000 0.3829 [2 per cell]  5 Sm 2.44-2.63

***

[2]
Below is crystalline LaCoRh2 at its relaxed geometry, with properties calculated at the PBE-GGA level.

VASP energy: -6.82 eV/atom
ΔE to the lowest computed polymorph: 0.1162 eV per atom
Formation enthalpy at 0 K: -0.14 eV/atom
Density of states at the Fermi level: 1.2316 states/eV per atom

Lattice parameters (Å, degrees): 4.1924 4.1924 3.9419 90.00 90.00 90.00
Closest atoms and distances in Å follow each position.
Space group P4/mmm (No. 123)
One atom of each set of equivalent atoms:
La 0.0000 0.0000 0.0000 [1 per cell]  8 Rh 2.88, 4 Co 2.96
Co 0.5000 0.5000 0.0000 [1 per cell]  8 Rh 2.88, 4 La 2.96
Rh 0.0000 0.5000 0.5000 [2 per cell]  4 La 2.88, 4 Co 2.88, 4 Rh 2.96

***

[3]
Below is crystalline MgNbZn6 at its relaxed geometry, with properties calculated at the PBE-GGA level.

VASP energy: -2.47 eV/atom
Formation enthalpy at 0 K: -0.06 eV/atom
Density of states at the Fermi level: 0.5049 states/eV per atom

Lattice parameters (Å, degrees): 3.9135 3.9135 8.2831 90.00 90.00 90.00
Closest atoms and distances in Å follow each position.
Space group P4/mmm (No. 123)
One atom of each set of equivalent atoms:
Mg 0.0000 0.0000 0.0000 [1 per cell]  12 Zn 2.77-2.88
Nb 0.0000 0.0000 0.5000 [1 per cell]  12 Zn 2.77-2.82
Zn 0.0000 0.5000 0.2549 [4 per cell]  8 Zn 2.77-2.88, 2 Nb 2.82, 2 Mg 2.88
Zn 0.5000 0.5000 0.0000 [1 per cell]  4 Mg 2.77, 8 Zn 2.88
Zn 0.5000 0.5000 0.5000 [1 per cell]  4 Nb 2.77, 8 Zn 2.82

***

[4]
Below is crystalline PmYRu4 at its relaxed geometry, with properties calculated at the PBE-GGA level.

VASP energy: -8.28 eV/atom
Formation enthalpy at 0 K: -0.23 eV/atom
Density of states at the Fermi level: 1.1086 states/eV per atom

Lattice parameters (Å, degrees): 7.6006 7.6006 7.6006 90.00 90.00 90.00
Closest atoms and distances in Å follow each position.
Space group F-43m (No. 216)
One atom of each set of equivalent atoms:
Pm 0.0000 0.0000 0.0000 [4 per cell]  12 Ru 3.15, 4 Y 3.29
Y 0.2500 0.2500 0.7500 [4 per cell]  12 Ru 3.15, 4 Pm 3.29
Ru 0.1249 0.1249 0.3751 [16 per cell]  6 Ru 2.68-2.69

***

[5]
Below is crystalline RbNdBeS3 at its relaxed geometry, with properties calculated at the PBE-GGA level.

VASP energy: -5.15 eV/atom
Density of states at the Fermi level: 0.0000 states/eV per atom

Lattice parameters (Å, degrees): 9.3034 3.9994 9.3657 90.00 107.91 90.00
Closest atoms and distances in Å follow each position.
Space group P2_1/m (No. 11)
One atom of each set of equivalent atoms:
Rb 0.2296 0.2500 0.1937 [2 per cell]  7 S 3.37-3.52
Nd 0.1567 0.2500 0.6645 [2 per cell]  6 S 2.81-2.91
Be 0.3962 0.7500 0.9278 [2 per cell]  2 S 2.06-2.10
S 0.1596 0.7500 0.4544 [2 per cell]  3 Nd 2.81
S 0.1653 0.7500 0.8812 [2 per cell]  1 Be 2.06
S 0.4737 0.2500 0.8455 [2 per cell]  3 Be 2.10-2.34

***

[6]
Below is crystalline Ba2CaFe at its relaxed geometry, with properties calculated at the PBE-GGA level.

VASP energy: -3.11 eV/atom
ΔE to the lowest computed polymorph: 0.0405 eV per atom
Formation enthalpy at 0 K: 0.46 eV/atom
Density of states at the Fermi level: 2.0014 states/eV per atom

Lattice parameters (Å, degrees): 14.2951 4.0007 6.3170 90.00 116.20 90.00
Closest atoms and distances in Å follow each position.
Space group Cm (No. 8)
One atom of each set of equivalent atoms:
Ba 0.0000 0.0000 0.0000 [2 per cell]  4 Fe 3.74, 2 Ca 3.94-3.95, 4 Ba 3.96-4.00
Ba 0.1861 0.0000 0.6860 [2 per cell]  2 Fe 3.21
Ca 0.3158 0.5000 0.3158 [2 per cell]  2 Fe 3.01
Fe 0.4907 0.0000 0.4915 [2 per cell]  2 Ca 3.01, 2 Ba 3.21

***

[7]
Below is crystalline Tb2Sm2Mg3 at its relaxed geometry, with properties calculated at the PBE-GGA level.

VASP energy: -3.43 eV/atom
Formation enthalpy at 0 K: -0.07 eV/atom
Density of states at the Fermi level: 1.1802 states/eV per atom

Lattice parameters (Å, degrees): 28.4061 3.7804 3.7802 90.00 97.64 90.00
Closest atoms and distances in Å follow each position.
Space group C2/m (No. 12)
One atom of each set of equivalent atoms:
Tb 0.2082 0.0000 0.2078 [4 per cell]  4 Mg 3.30, 4 Tb 3.56
Sm 0.0685 0.0000 0.0682 [4 per cell]  8 Mg 3.30-3.34
Mg 0.0000 0.5000 0.5000 [2 per cell]  8 Sm 3.30
Mg 0.1396 0.5000 0.6386 [4 per cell]  4 Tb 3.30, 4 Sm 3.34

***

[8]
Below is crystalline Y3AsSe at its relaxed geometry, with properties calculated at the PBE-GGA level.

VASP energy: -5.99 eV/atom
ΔE to the lowest computed polymorph: 0.0000 eV per atom
Density of states at the Fermi level: 1.4203 states/eV per atom

Lattice parameters (Å, degrees): 5.2933 5.2933 5.2933 90.00 90.00 90.00
Closest atoms and distances in Å follow each position.
Space group Pm-3m (No. 221)
One atom of each set of equivalent atoms:
Y 0.0000 0.0000 0.5000 [3 per cell]  2 Se 2.65
As 0.5000 0.5000 0.5000 [1 per cell]  12 Y 3.74
Se 0.0000 0.0000 0.0000 [1 per cell]  6 Y 2.65

***

[9]
Below is crystalline Tb2Cd3Ga2 at its relaxed geometry, with properties calculated at the PBE-GGA level.

VASP energy: -2.96 eV/atom
Formation enthalpy at 0 K: -0.38 eV/atom
Density of states at the Fermi level: 0.2959 states/eV per atom

Lattice parameters (Å, degrees): 4.2685 20.8950 3.6229 90.00 90.00 90.00
Closest atoms and distances in Å follow each position.
Space group Cmmm (No. 65)
One atom of each set of equivalent atoms:
Tb 0.0000 0.1630 0.0000 [4 per cell]  6 Ga 3.00-3.13
Cd 0.0000 0.0000 0.0000 [2 per cell]  8 Cd 3.18, 2 Tb 3.41
Cd 0.0000 0.4276 0.5000 [4 per cell]  1 Ga 2.98, 5 Cd 3.03-3.18
Ga 0.0000 0.2850 0.5000 [4 per cell]  2 Ga 2.59

***

[10]
Below is crystalline AgMo2Cl at its relaxed geometry, with properties calculated at the PBE-GGA level.

VASP energy: -6.03 eV/atom
ΔE to the lowest computed polymorph: 0.3679 eV per atom
Density of states at the Fermi level: 0.5512 states/eV per atom

Lattice parameters (Å, degrees): 3.0553 4.8719 10.1554 90.00 90.00 90.00
Closest atoms and distances in Å follow each position.
Space group Imm2 (No. 44)
One atom of each set of equivalent atoms:
Ag 0.0000 0.0000 0.0000 [2 per cell]  6 Mo 2.88-3.10, 2 Ag 3.06
Mo 0.0000 0.0000 0.5106 [2 per cell]  2 Mo 2.36
Mo 0.0000 0.5000 0.1882 [2 per cell]  2 Mo 2.36
Cl 0.0000 0.5000 0.7800 [2 per cell]  6 Mo 2.80-3.02, 2 Cl 3.06

***

[11]
Below is crystalline Pm2Dy2Ru3 at its relaxed geometry, with properties calculated at the PBE-GGA level.

VASP energy: -6.89 eV/atom
Formation enthalpy at 0 K: -0.24 eV/atom
Density of states at the Fermi level: 0.7166 states/eV per atom

Lattice parameters (Å, degrees): 4.7810 4.9132 7.6902 71.61 72.01 89.98
Closest atoms and distances in Å follow each position.
Space group P-1 (No. 2)
One atom of each set of equivalent atoms:
Pm 0.1257 0.1259 0.2504 [2 per cell]  6 Ru 2.96-3.01
Dy 0.3720 0.3716 0.7544 [2 per cell]  6 Ru 2.92-2.99
Ru 0.0000 0.5000 0.5000 [1 per cell]  4 Dy 2.96-2.97, 4 Pm 2.99-3.01
Ru 0.2490 0.7490 0.0021 [2 per cell]  4 Dy 2.92-2.99, 4 Pm 2.96-3.00

***

[12]
Below is crystalline NbIrRuRh2 at its relaxed geometry, with properties calculated at the PBE-GGA level.

VASP energy: -8.42 eV/atom
Formation enthalpy at 0 K: 0.16 eV/atom
Density of states at the Fermi level: 0.9489 states/eV per atom

Lattice parameters (Å, degrees): 2.7406 14.5649 8.3983 90.00 90.00 90.00
Closest atoms and distances in Å follow each position.
Space group Cmcm (No. 63)
One atom of each set of equivalent atoms:
Nb 0.0000 0.2284 0.2500 [4 per cell]  6 Rh 2.59-2.68, 2 Ir 2.73, 2 Nb 2.74
Ir 0.0000 0.4340 0.7500 [4 per cell]  4 Ru 2.69, 2 Nb 2.73, 2 Ir 2.74
Ru 0.0000 0.0000 0.0000 [4 per cell]  2 Rh 2.48, 4 Ir 2.69, 2 Ru 2.74
Rh 0.0000 0.1688 0.5408 [8 per cell]  1 Ru 2.48, 3 Nb 2.59-2.68, 2 Rh 2.74